Entry from the Alexandria database: crystalline InReMo2 at its relaxed geometry (PBE).

extended XYZ file:
```
4
Lattice="2.925 0.000 0.000 0.000 4.090 0.000 0.000 0.000 5.740" Properties=species:S:1:pos:R:3 pbc="T T T"
In 0.000 0.000 0.000
Re 1.463 2.045 4.067
Mo 0.000 0.000 2.897
Mo 1.463 2.045 1.630
```

Computed properties:
VASP energy (eV/atom): -8.8681
E_form (kcal/mol of atoms): 7.94
M_tot (μB/f.u.): 0.0

=====

Entry from the Alexandria database: crystalline InReMo2 at its relaxed geometry (PBE).

extended XYZ file:
```
8
Lattice="3.249 0.000 0.000 0.000 4.502 0.000 0.000 0.000 9.095" Properties=species:S:1:pos:R:3 pbc="T T T"
In 0.000 0.000 0.000
In 1.624 2.251 4.548
Re 0.000 0.000 4.548
Re 1.624 2.251 0.000
Mo 0.000 2.251 2.156
Mo 0.000 2.251 6.939
Mo 1.624 0.000 2.391
Mo 1.624 0.000 6.704
```

Computed properties:
VASP energy (eV/atom): -8.9132
E_form (kcal/mol of atoms): 6.89
M_tot (μB/f.u.): 0.0

=====

Entry from the Alexandria database: crystalline In2ReMo at its relaxed geometry (PBE).

extended XYZ file:
```
8
Lattice="5.641 0.000 0.000 0.000 8.846 0.000 0.000 0.000 2.903" Properties=species:S:1:pos:R:3 pbc="T T T"
In 1.410 2.212 0.000
In 1.410 6.635 0.000
In 4.231 2.212 0.000
In 4.231 6.635 0.000
Re 0.000 0.000 1.452
Re 2.821 4.423 1.452
Mo 0.000 4.423 1.452
Mo 2.821 0.000 1.452
```

Computed properties:
VASP energy (eV/atom): -6.4913
Offset from the most stable computed form (meV per atom): 515
E_form (kcal/mol of atoms): 16.09
M_tot (μB/f.u.): 0.0

=====

Entry from the Alexandria database: crystalline In4ReMo at its relaxed geometry (PBE).

extended XYZ file:
```
6
Lattice="0.000 3.948 3.948 3.948 0.000 3.948 3.948 3.948 0.000" Properties=species:S:1:pos:R:3 pbc="T T T"
In 0.987 0.987 0.987
In 2.961 2.961 0.987
In 2.961 0.987 2.961
In 0.987 2.961 2.961
Re 3.948 3.948 3.948
Mo 5.921 5.921 5.921
```

Computed properties:
VASP energy (eV/atom): -4.5120
E_form (kcal/mol of atoms): 27.52
M_tot (μB/f.u.): 3.2